(1)
Computed, not measured: a geometry-optimized Sc2RhF structure at the GGA-PBE level of DFT.

```
data_Sc2RhF
_symmetry_space_group_name_H-M 'R -3 m'
_symmetry_Int_Tables_number 166
_symmetry_space_group_name_Hall '-R 3 2"'
_cell_length_a 3.9160
_cell_length_b 3.9160
_cell_length_c 20.1085
_cell_angle_alpha 90.00
_cell_angle_beta 90.00
_cell_angle_gamma 120.00
loop_
_atom_site_label
_atom_site_fract_x
_atom_site_fract_y
_atom_site_fract_z
Sc1 0.0000 0.0000 0.1017
Rh1 0.0000 0.0000 0.5000
F1 0.0000 0.0000 0.0000
```

Summary:
Formation energy without anion corrections = -1.664 eV per atom
Total moment = 0.00 μB/f.u.
V = 22.25 Å³ per atom
VASP energy = -85.62 eV/cell

(2)
Computed, not measured: a geometry-optimized ScRh3F structure at the GGA-PBE level of DFT.

```
data_ScRh3F
_symmetry_space_group_name_H-M 'P m -3 m'
_symmetry_Int_Tables_number 221
_symmetry_space_group_name_Hall '-P 4 2 3'
_cell_length_a 4.295
_cell_length_b 4.295
_cell_length_c 4.295
_cell_angle_alpha 90.00
_cell_angle_beta 90.00
_cell_angle_gamma 90.00
loop_
_atom_site_label
_atom_site_fract_x
_atom_site_fract_y
_atom_site_fract_z
Sc1 0.000 0.000 0.000
Rh1 0.000 0.500 0.500
F1 0.500 0.500 0.500
```

Summary:
Formation energy without anion corrections = 0.046 eV per atom
Total moment = 2.28 μB/f.u.
V = 15.84 Å³ per atom
VASP energy = -30.03 eV/cell

(3)
Computed, not measured: a geometry-optimized Sc2RhF structure at the GGA-PBE level of DFT.

```
data_Sc2RhF
_symmetry_space_group_name_H-M 'R -3 m'
_symmetry_Int_Tables_number 166
_symmetry_space_group_name_Hall '-R 3 2"'
_cell_length_a 2.9836
_cell_length_b 2.9836
_cell_length_c 25.2172
_cell_angle_alpha 90.00
_cell_angle_beta 90.00
_cell_angle_gamma 120.00
loop_
_atom_site_label
_atom_site_fract_x
_atom_site_fract_y
_atom_site_fract_z
Sc1 0.0000 0.0000 0.0957
Rh1 0.0000 0.0000 0.0000
F1 0.0000 0.0000 0.5000
```

Summary:
Formation energy without anion corrections = -1.039 eV per atom
Total moment = 0.00 μB/f.u.
V = 16.20 Å³ per atom
VASP energy = -78.12 eV/cell

(4)
Computed, not measured: a geometry-optimized ScRhF2 structure at the GGA-PBE level of DFT.

```
data_ScRhF2
_symmetry_space_group_name_H-M 'F m -3 m'
_symmetry_Int_Tables_number 225
_symmetry_space_group_name_Hall '-F 4 2 3'
_cell_length_a 5.895
_cell_length_b 5.895
_cell_length_c 5.895
_cell_angle_alpha 90.00
_cell_angle_beta 90.00
_cell_angle_gamma 90.00
loop_
_atom_site_label
_atom_site_fract_x
_atom_site_fract_y
_atom_site_fract_z
Sc1 0.000 0.000 0.000
Rh1 0.000 0.000 0.500
F1 0.250 0.250 0.250
```

Summary:
Formation energy without anion corrections = -1.326 eV per atom
Total moment = 0.20 μB/f.u.
V = 12.80 Å³ per atom
VASP energy = -90.91 eV/cell

(5)
Computed, not measured: a geometry-optimized Sc2RhF structure at the GGA-PBE level of DFT.

```
data_Sc2RhF
_symmetry_space_group_name_H-M 'I -4 2 d'
_symmetry_Int_Tables_number 122
_symmetry_space_group_name_Hall 'I -4 2bw'
_cell_length_a 6.225
_cell_length_b 6.225
_cell_length_c 7.237
_cell_angle_alpha 90.00
_cell_angle_beta 90.00
_cell_angle_gamma 90.00
loop_
_atom_site_label
_atom_site_fract_x
_atom_site_fract_y
_atom_site_fract_z
Sc1 0.200 0.250 0.125
Rh1 0.000 0.000 0.500
F1 0.000 0.000 0.000
```

Summary:
Formation energy without anion corrections = -1.463 eV per atom
Total moment = 0.00 μB/f.u.
V = 17.53 Å³ per atom
VASP energy = -110.95 eV/cell

(6)
Computed, not measured: a geometry-optimized Sc2RhF structure at the GGA-PBE level of DFT.

```
data_Sc2RhF
_symmetry_space_group_name_H-M 'F m -3 m'
_symmetry_Int_Tables_number 225
_symmetry_space_group_name_Hall '-F 4 2 3'
_cell_length_a 6.442
_cell_length_b 6.442
_cell_length_c 6.442
_cell_angle_alpha 90.00
_cell_angle_beta 90.00
_cell_angle_gamma 90.00
loop_
_atom_site_label
_atom_site_fract_x
_atom_site_fract_y
_atom_site_fract_z
Sc1 0.250 0.250 0.250
Rh1 0.000 0.000 0.000
F1 0.000 0.000 0.500
```

Summary:
Formation energy without anion corrections = -1.182 eV per atom
Total moment = 0.00 μB/f.u.
V = 16.71 Å³ per atom
VASP energy = -106.45 eV/cell

(7)
Computed, not measured: a geometry-optimized ScRh3F structure at the GGA-PBE level of DFT.

```
data_ScRh3F
_symmetry_space_group_name_H-M 'P m -3 m'
_symmetry_Int_Tables_number 221
_symmetry_space_group_name_Hall '-P 4 2 3'
_cell_length_a 4.741
_cell_length_b 4.741
_cell_length_c 4.741
_cell_angle_alpha 90.00
_cell_angle_beta 90.00
_cell_angle_gamma 90.00
loop_
_atom_site_label
_atom_site_fract_x
_atom_site_fract_y
_atom_site_fract_z
Sc1 0.000 0.000 0.000
Rh1 0.000 0.000 0.500
F1 0.500 0.500 0.500
```

Summary:
Formation energy without anion corrections = 0.977 eV per atom
Total moment = 2.67 μB/f.u.
V = 21.31 Å³ per atom
VASP energy = -25.37 eV/cell

(8)
Computed, not measured: a geometry-optimized ScTlRhF2 structure at the GGA-PBE level of DFT.

```
data_ScTlRhF2
_symmetry_space_group_name_H-M 'P 4/m m m'
_symmetry_Int_Tables_number 123
_symmetry_space_group_name_Hall '-P 4 2'
_cell_length_a 4.360
_cell_length_b 4.360
_cell_length_c 4.979
_cell_angle_alpha 90.00
_cell_angle_beta 90.00
_cell_angle_gamma 90.00
loop_
_atom_site_label
_atom_site_fract_x
_atom_site_fract_y
_atom_site_fract_z
Sc1 0.000 0.000 0.000
Tl1 0.500 0.500 0.000
Rh1 0.000 0.000 0.500
F1 0.000 0.500 0.500
```

Summary:
Formation energy without anion corrections = -0.802 eV per atom
Total moment = 0.00 μB/f.u.
V = 18.93 Å³ per atom
VASP energy = -23.80 eV/cell

Question: Among the records above, which one has the highest formation energy without anion corrections?
Answer: number 7

Question: Which of these has the lowest V?
Answer: ScRhF2

Question: Among the records above, which one has the lowest V?
Answer: ScRhF2